No. 1
The following is a PBEsol calculation of crystalline Na5CoO4 at its relaxed geometry, from the Alexandria database.

The structure in extended XYZ format:
```
20
Lattice="5.870 0.000 0.000 0.000 6.020 0.000 0.000 0.000 7.563" Properties=species:S:1:pos:R:3 pbc="T T T"
O 5.270 1.628 5.886
O 2.352 0.757 3.781
O 2.335 4.392 5.458
O 5.270 1.628 1.677
O 4.761 4.492 3.781
O 1.826 1.528 0.000
O 2.335 4.392 2.105
O 5.287 5.263 0.000
Na 1.472 4.053 0.000
Na 4.417 3.695 1.507
Na 1.482 2.325 2.275
Na 0.414 5.623 2.388
Na 0.414 5.623 5.175
Na 4.407 1.967 3.781
Na 3.349 0.397 1.393
Na 1.482 2.325 5.288
Na 4.417 3.695 6.056
Na 3.349 0.397 6.170
Co 2.957 4.958 3.781
Co 0.022 1.062 0.000
```

Computed properties:
energy above the lowest structure with this stoichiometry	10	meV per atom
symmetry	No. 31



No. 2
The following is a PBEsol calculation of crystalline NaCoO2 at its relaxed geometry, from the Alexandria database.

The structure in extended XYZ format:
```
4
Lattice="2.892 0.000 0.000 1.446 2.505 0.000 1.446 0.835 5.118" Properties=species:S:1:pos:R:3 pbc="T T T"
O 1.446 0.835 1.602
O 4.338 2.505 3.516
Na 0.000 0.000 0.000
Co 2.892 1.670 2.559
```

Computed properties:
symmetry	No. 166



no.,E_form (uncorrected) (eV/atom)
1,-1.2208
2,-1.3298